# K3Sc, optimized geometry, DFT PBE
data_K3Sc
_cell_length_a 3.712
_cell_length_b 6.773
_cell_length_c 8.192
_cell_angle_alpha 90.00
_cell_angle_beta 99.43
_cell_angle_gamma 90.00
_space_group_name_H-M_alt 'P 1'
_space_group_IT_number 1
_space_group_name_Hall 'P 1'
loop_
_atom_site_label
_atom_site_fract_x
_atom_site_fract_y
_atom_site_fract_z
K1 0.000 0.000 0.000
K2 0.194 0.500 0.729
K3 0.806 0.500 0.271
Sc1 0.500 0.000 0.500
# **Symmetry**: P2/m (10)
# **ΔH_f (0 K)**: 50.2 kJ per mole of atoms
# **DOS at the Fermi energy**: 1.110 states/eV/atom
# **Offset from the most stable computed form**: 57 meV/atom
# **Energy**: -1.89 eV per atom